# Ti2TlIn, relaxed, DFT PBE
# M_tot: 0.00 μB/f.u.
# Offset from the most stable computed form: 0 meV per atom
# DFT formation energy: -0.002 eV per atom
data_Ti2TlIn
_chemical_formula_sum 'Ti2 Tl1 In1'
_cell_length_a 3.0312
_cell_length_b 3.0312
_cell_length_c 8.5391
_cell_angle_alpha 90.00
_cell_angle_beta 90.00
_cell_angle_gamma 90.00
_symmetry_space_group_name_H-M 'P 4/m m m'
_symmetry_Int_Tables_number 123
_symmetry_space_group_name_Hall '-P 4 2'
loop_
_atom_site_label
_atom_site_fract_x
_atom_site_fract_y
_atom_site_fract_z
Ti1 0.0000 0.0000 0.2444
Tl1 0.5000 0.5000 0.5000
In1 0.5000 0.5000 0.0000

---

# YTi2TlIn, relaxed, DFT PBE
# M_tot: 3.11 μB/f.u.
# DFT formation energy: 0.936 eV per atom
data_YTi2TlIn
_chemical_formula_sum 'Y1 Ti2 Tl1 In1'
_cell_length_a 5.5255
_cell_length_b 5.5255
_cell_length_c 5.9536
_cell_angle_alpha 90.00
_cell_angle_beta 90.00
_cell_angle_gamma 90.00
_symmetry_space_group_name_H-M 'P 4/m m m'
_symmetry_Int_Tables_number 123
_symmetry_space_group_name_Hall '-P 4 2'
loop_
_atom_site_label
_atom_site_fract_x
_atom_site_fract_y
_atom_site_fract_z
Y1 0.0000 0.0000 0.0000
Ti1 0.0000 0.5000 0.5000
Tl1 0.0000 0.0000 0.5000
In1 0.5000 0.5000 0.0000

---

# TmTiIn2, relaxed, DFT PBE
# M_tot: 1.60 μB/f.u.
# DFT formation energy: -0.227 eV per atom
data_TmTiIn2
_chemical_formula_sum 'Tm1 Ti1 In2'
_cell_length_a 4.4919
_cell_length_b 4.4919
_cell_length_c 4.4556
_cell_angle_alpha 90.00
_cell_angle_beta 90.00
_cell_angle_gamma 90.00
_symmetry_space_group_name_H-M 'P 4/m m m'
_symmetry_Int_Tables_number 123
_symmetry_space_group_name_Hall '-P 4 2'
loop_
_atom_site_label
_atom_site_fract_x
_atom_site_fract_y
_atom_site_fract_z
Tm1 0.0000 0.0000 0.0000
Ti1 0.5000 0.5000 0.0000
In1 0.0000 0.5000 0.5000

---

# TmTiIn2, relaxed, DFT PBE
# M_tot: 0.91 μB/f.u.
# DFT formation energy: -0.194 eV per atom
data_TmTiIn2
_chemical_formula_sum 'Tm1 Ti1 In2'
_cell_length_a 3.6533
_cell_length_b 3.6533
_cell_length_c 6.7580
_cell_angle_alpha 90.00
_cell_angle_beta 90.00
_cell_angle_gamma 90.00
_symmetry_space_group_name_H-M 'P 4/m m m'
_symmetry_Int_Tables_number 123
_symmetry_space_group_name_Hall '-P 4 2'
loop_
_atom_site_label
_atom_site_fract_x
_atom_site_fract_y
_atom_site_fract_z
Tm1 0.0000 0.0000 0.0000
Ti1 0.0000 0.0000 0.5000
In1 0.5000 0.5000 0.2763

---

# TmTi2In, relaxed, DFT PBE
# M_tot: 0.00 μB/f.u.
# Offset from the most stable computed form: 0 meV per atom
# DFT formation energy: -0.037 eV per atom
data_TmTi2In
_chemical_formula_sum 'Tm1 Ti2 In1'
_cell_length_a 4.3849
_cell_length_b 4.3849
_cell_length_c 4.3266
_cell_angle_alpha 90.00
_cell_angle_beta 90.00
_cell_angle_gamma 90.00
_symmetry_space_group_name_H-M 'P 4/m m m'
_symmetry_Int_Tables_number 123
_symmetry_space_group_name_Hall '-P 4 2'
loop_
_atom_site_label
_atom_site_fract_x
_atom_site_fract_y
_atom_site_fract_z
Tm1 0.0000 0.0000 0.0000
Ti1 0.0000 0.5000 0.5000
In1 0.5000 0.5000 0.0000

---

# Tm2TiIn, relaxed, DFT PBE
# M_tot: 2.10 μB/f.u.
# Offset from the most stable computed form: 0 meV per atom
# DFT formation energy: -0.121 eV per atom
data_Tm2TiIn
_chemical_formula_sum 'Tm2 Ti1 In1'
_cell_length_a 4.6758
_cell_length_b 4.6758
_cell_length_c 4.4697
_cell_angle_alpha 90.00
_cell_angle_beta 90.00
_cell_angle_gamma 90.00
_symmetry_space_group_name_H-M 'P 4/m m m'
_symmetry_Int_Tables_number 123
_symmetry_space_group_name_Hall '-P 4 2'
loop_
_atom_site_label
_atom_site_fract_x
_atom_site_fract_y
_atom_site_fract_z
Tm1 0.0000 0.5000 0.0000
Ti1 0.0000 0.0000 0.5000
In1 0.5000 0.5000 0.5000

---

# TmTiIn2, relaxed, DFT PBE
# M_tot: 0.69 μB/f.u.
# DFT formation energy: -0.071 eV per atom
data_TmTiIn2
_chemical_formula_sum 'Tm3 Ti3 In6'
_cell_length_a 3.3477
_cell_length_b 3.3477
_cell_length_c 29.2598
_cell_angle_alpha 90.00
_cell_angle_beta 90.00
_cell_angle_gamma 120.00
_symmetry_space_group_name_H-M 'R -3 m'
_symmetry_Int_Tables_number 166
_symmetry_space_group_name_Hall '-R 3 2"'
loop_
_atom_site_label
_atom_site_fract_x
_atom_site_fract_y
_atom_site_fract_z
Tm1 0.0000 0.0000 0.0000
Ti1 0.0000 0.0000 0.5000
In1 0.0000 0.0000 0.2439

---

# Tm2TiIn, relaxed, DFT PBE
# M_tot: 0.00 μB/f.u.
# Offset from the most stable computed form: 108 meV per atom
# DFT formation energy: -0.013 eV per atom
data_Tm2TiIn
_chemical_formula_sum 'Tm6 Ti3 In3'
_cell_length_a 3.3555
_cell_length_b 3.3555
_cell_length_c 30.8523
_cell_angle_alpha 90.00
_cell_angle_beta 90.00
_cell_angle_gamma 120.00
_symmetry_space_group_name_H-M 'R -3 m'
_symmetry_Int_Tables_number 166
_symmetry_space_group_name_Hall '-R 3 2"'
loop_
_atom_site_label
_atom_site_fract_x
_atom_site_fract_y
_atom_site_fract_z
Tm1 0.0000 0.0000 0.2463
Ti1 0.0000 0.0000 0.5000
In1 0.0000 0.0000 0.0000

---

# TmTi2In, relaxed, DFT PBE
# M_tot: 0.00 μB/f.u.
# Offset from the most stable computed form: 113 meV per atom
# DFT formation energy: 0.076 eV per atom
data_TmTi2In
_chemical_formula_sum 'Tm4 Ti8 In4'
_cell_length_a 6.8935
_cell_length_b 6.8935
_cell_length_c 6.8935
_cell_angle_alpha 90.00
_cell_angle_beta 90.00
_cell_angle_gamma 90.00
_symmetry_space_group_name_H-M 'F m -3 m'
_symmetry_Int_Tables_number 225
_symmetry_space_group_name_Hall '-F 4 2 3'
loop_
_atom_site_label
_atom_site_fract_x
_atom_site_fract_y
_atom_site_fract_z
Tm1 0.0000 0.0000 0.0000
Ti1 0.2500 0.2500 0.2500
In1 0.0000 0.0000 0.5000

---

# Tm2TiIn, relaxed, DFT PBE
# M_tot: 0.00 μB/f.u.
# Offset from the most stable computed form: 2 meV per atom
# DFT formation energy: -0.119 eV per atom
data_Tm2TiIn
_chemical_formula_sum 'Tm2 Ti1 In1'
_cell_length_a 3.4504
_cell_length_b 3.4504
_cell_length_c 8.2814
_cell_angle_alpha 90.00
_cell_angle_beta 90.00
_cell_angle_gamma 90.00
_symmetry_space_group_name_H-M 'P 4/m m m'
_symmetry_Int_Tables_number 123
_symmetry_space_group_name_Hall '-P 4 2'
loop_
_atom_site_label
_atom_site_fract_x
_atom_site_fract_y
_atom_site_fract_z
Tm1 0.0000 0.0000 0.2434
Ti1 0.5000 0.5000 0.0000
In1 0.5000 0.5000 0.5000

---

# Tm2TiIn, relaxed, DFT PBE
# M_tot: 2.83 μB/f.u.
# Offset from the most stable computed form: 28 meV per atom
# DFT formation energy: -0.093 eV per atom
data_Tm2TiIn
_chemical_formula_sum 'Tm8 Ti4 In4'
_cell_length_a 7.3422
_cell_length_b 7.3422
_cell_length_c 7.3422
_cell_angle_alpha 90.00
_cell_angle_beta 90.00
_cell_angle_gamma 90.00
_symmetry_space_group_name_H-M 'F m -3 m'
_symmetry_Int_Tables_number 225
_symmetry_space_group_name_Hall '-F 4 2 3'
loop_
_atom_site_label
_atom_site_fract_x
_atom_site_fract_y
_atom_site_fract_z
Tm1 0.2500 0.2500 0.2500
Ti1 0.0000 0.0000 0.0000
In1 0.0000 0.0000 0.5000

---

# YTmTiIn, relaxed, DFT PBE
# M_tot: 2.82 μB/f.u.
# DFT formation energy: -0.104 eV per atom
data_YTmTiIn
_chemical_formula_sum 'Y4 Tm4 Ti4 In4'
_cell_length_a 7.3963
_cell_length_b 7.3963
_cell_length_c 7.3963
_cell_angle_alpha 90.00
_cell_angle_beta 90.00
_cell_angle_gamma 90.00
_symmetry_space_group_name_H-M 'F -4 3 m'
_symmetry_Int_Tables_number 216
_symmetry_space_group_name_Hall 'F -4 2 3'
loop_
_atom_site_label
_atom_site_fract_x
_atom_site_fract_y
_atom_site_fract_z
Y1 0.0000 0.0000 0.0000
Tm1 0.0000 0.0000 0.5000
Ti1 0.2500 0.2500 0.7500
In1 0.2500 0.2500 0.2500

---

# UTiIn, relaxed, DFT PBE
# M_tot: 1.12 μB/f.u.
# DFT formation energy: 0.168 eV per atom
data_UTiIn
_chemical_formula_sum 'U4 Ti4 In4'
_cell_length_a 5.7923
_cell_length_b 5.8162
_cell_length_c 7.6569
_cell_angle_alpha 90.00
_cell_angle_beta 101.87
_cell_angle_gamma 90.00
_symmetry_space_group_name_H-M 'C 1 2/m 1'
_symmetry_Int_Tables_number 12
loop_
_symmetry_equiv_pos_as_xyz
'x,y,z'
'-x,-y,-z'
'-x,y,-z'
'x,-y,z'
'x+1/2,y+1/2,z'
'-x+1/2,-y+1/2,-z'
'-x+1/2,y+1/2,-z'
'x+1/2,-y+1/2,z'
loop_
_atom_site_label
_atom_site_fract_x
_atom_site_fract_y
_atom_site_fract_z
U1 0.2500 0.2500 0.0000
Ti1 0.0822 0.0000 0.3048
In1 0.0949 0.5000 0.3344

---

# Ti3V8In, relaxed, DFT PBE
# M_tot: 0.00 μB/f.u.
# DFT formation energy: 0.061 eV per atom
data_Ti3V8In
_chemical_formula_sum 'Ti3 V8 In1'
_cell_length_a 5.0919
_cell_length_b 5.0919
_cell_length_c 8.1215
_cell_angle_alpha 90.00
_cell_angle_beta 90.00
_cell_angle_gamma 120.00
_symmetry_space_group_name_H-M 'P 3 m 1'
_symmetry_Int_Tables_number 156
loop_
_symmetry_equiv_pos_as_xyz
'x,y,z'
'-y,x-y,z'
'-x+y,-x,z'
'-y,-x,z'
'-x+y,y,z'
'x,x-y,z'
loop_
_atom_site_label
_atom_site_fract_x
_atom_site_fract_y
_atom_site_fract_z
Ti1 0.0000 0.0000 0.0000
Ti2 0.0000 0.0000 0.3710
Ti3 0.3333 0.6667 0.8834
V1 0.0023 0.5012 0.1852
V2 0.3245 0.1623 0.6961
V3 0.6667 0.3333 0.4325
V4 0.6667 0.3333 0.9346
In1 0.3333 0.6667 0.5032

---

# TiV2In2, relaxed, DFT PBE
# M_tot: 0.08 μB/f.u.
# DFT formation energy: 0.298 eV per atom
data_TiV2In2
_chemical_formula_sum 'Ti2 V4 In4'
_cell_length_a 7.9356
_cell_length_b 7.9356
_cell_length_c 2.8922
_cell_angle_alpha 90.00
_cell_angle_beta 90.00
_cell_angle_gamma 90.00
_symmetry_space_group_name_H-M 'P 4/m b m'
_symmetry_Int_Tables_number 127
_symmetry_space_group_name_Hall '-P 4 2ab'
loop_
_atom_site_label
_atom_site_fract_x
_atom_site_fract_y
_atom_site_fract_z
Ti1 0.0000 0.0000 0.0000
V1 0.1033 0.3967 0.0000
In1 0.1898 0.6898 0.5000

---

# Ti4V2In, relaxed, DFT PBE
# M_tot: 0.00 μB/f.u.
# Offset from the most stable computed form: 885 meV per atom
# DFT formation energy: 1.127 eV per atom
data_Ti4V2In
_chemical_formula_sum 'Ti8 V4 In2'
_cell_length_a 5.0324
_cell_length_b 5.0324
_cell_length_c 11.7923
_cell_angle_alpha 90.00
_cell_angle_beta 90.00
_cell_angle_gamma 90.00
_symmetry_space_group_name_H-M 'I 4/m m m'
_symmetry_Int_Tables_number 139
_symmetry_space_group_name_Hall '-I 4 2'
loop_
_atom_site_label
_atom_site_fract_x
_atom_site_fract_y
_atom_site_fract_z
Ti1 0.0000 0.0000 0.2229
Ti2 0.0000 0.5000 0.0000
V1 0.0000 0.0000 0.4057
In1 0.0000 0.0000 0.0000

---

# Ti2VIn, relaxed, DFT PBE
# M_tot: 1.19 μB/f.u.
# DFT formation energy: -0.004 eV per atom
data_Ti2VIn
_chemical_formula_sum 'Ti2 V1 In1'
_cell_length_a 4.2358
_cell_length_b 4.2358
_cell_length_c 3.8431
_cell_angle_alpha 90.00
_cell_angle_beta 90.00
_cell_angle_gamma 90.00
_symmetry_space_group_name_H-M 'P 4/m m m'
_symmetry_Int_Tables_number 123
_symmetry_space_group_name_Hall '-P 4 2'
loop_
_atom_site_label
_atom_site_fract_x
_atom_site_fract_y
_atom_site_fract_z
Ti1 0.0000 0.5000 0.0000
V1 0.0000 0.0000 0.5000
In1 0.5000 0.5000 0.5000

---

# Ti4VIn2, relaxed, DFT PBE
# M_tot: 0.00 μB/f.u.
# DFT formation energy: 0.122 eV per atom
data_Ti4VIn2
_chemical_formula_sum 'Ti8 V2 In4'
_cell_length_a 7.3499
_cell_length_b 12.0424
_cell_length_c 2.9382
_cell_angle_alpha 90.00
_cell_angle_beta 90.00
_cell_angle_gamma 90.00
_symmetry_space_group_name_H-M 'P b a m'
_symmetry_Int_Tables_number 55
loop_
_symmetry_equiv_pos_as_xyz
'x,y,z'
'-x,-y,-z'
'-x,-y,z'
'x,y,-z'
'x+1/2,-y+1/2,-z'
'-x+1/2,y+1/2,z'
'-x+1/2,y+1/2,-z'
'x+1/2,-y+1/2,z'
loop_
_atom_site_label
_atom_site_fract_x
_atom_site_fract_y
_atom_site_fract_z
Ti1 0.0135 0.2146 0.0000
Ti2 0.2311 0.3690 0.5000
V1 0.0000 0.0000 0.0000
In1 0.1810 0.6095 0.5000

---

# Ti3VIn, relaxed, DFT PBE
# M_tot: 0.96 μB/f.u.
# Offset from the most stable computed form: 0 meV per atom
# DFT formation energy: 0.075 eV per atom
data_Ti3VIn
_chemical_formula_sum 'Ti12 V4 In4'
_cell_length_a 2.7634
_cell_length_b 26.4030
_cell_length_c 4.7180
_cell_angle_alpha 90.00
_cell_angle_beta 90.00
_cell_angle_gamma 90.00
_symmetry_space_group_name_H-M 'C m c m'
_symmetry_Int_Tables_number 63
_symmetry_space_group_name_Hall '-C 2c 2'
loop_
_atom_site_label
_atom_site_fract_x
_atom_site_fract_y
_atom_site_fract_z
Ti1 0.0000 0.0258 0.2500
Ti2 0.0000 0.1326 0.2500
Ti3 0.0000 0.1857 0.7500
V1 0.0000 0.2791 0.7500
In1 0.0000 0.4224 0.2500

---

# TiVIn, relaxed, DFT PBE
# M_tot: 0.00 μB/f.u.
# Offset from the most stable computed form: 0 meV per atom
# DFT formation energy: 0.077 eV per atom
data_TiVIn
_chemical_formula_sum 'Ti4 V4 In4'
_cell_length_a 3.2810
_cell_length_b 17.3555
_cell_length_c 3.8399
_cell_angle_alpha 90.00
_cell_angle_beta 90.00
_cell_angle_gamma 90.00
_symmetry_space_group_name_H-M 'C m c m'
_symmetry_Int_Tables_number 63
_symmetry_space_group_name_Hall '-C 2c 2'
loop_
_atom_site_label
_atom_site_fract_x
_atom_site_fract_y
_atom_site_fract_z
Ti1 0.0000 0.0924 0.2500
V1 0.0000 0.4585 0.2500
In1 0.0000 0.3003 0.2500